w | # TaHgAu3

A relaxed TaHgAu3 crystal (PBE, Alexandria via LeMat-Bulk).

Output
Symmetry   Pm-3m

abc: 5.188 5.188 5.188
angles: 90.00 90.00 90.00
Fractional positions:
Au 0.000 0.500 0.000
Au 0.000 0.000 0.500
Au 0.500 0.000 0.000
Hg 0.500 0.500 0.500
Ta 0.000 0.000 0.000

---

x | # TaHgAu3

A relaxed TaHgAu3 crystal (PBE, Alexandria via LeMat-Bulk).

Output
Symmetry   Pm-3m

abc: 5.073 5.073 5.073
angles: 90.00 90.00 90.00
Site moments in Bohr magnetons follow the coordinates.
Fractional positions:
Au 0.000 0.500 0.000  -0.02
Au 0.000 0.000 0.500  -0.03
Au 0.500 0.000 0.000  0.01
Hg 0.000 0.000 0.000  -0.02
Ta 0.500 0.500 0.500  1.89

---

Relative to the most stable structure, the computed energies are w 0.0; x 58.6, all in kJ/mol of atoms.

---

w | # TaHg3Au

A relaxed TaHg3Au crystal (PBE, Alexandria via LeMat-Bulk).

Output
Symmetry   Pm-3m

abc: 5.412 5.412 5.412
angles: 90.00 90.00 90.00
Fractional positions:
Au 0.500 0.500 0.500
Hg 0.000 0.500 0.000
Hg 0.000 0.000 0.500
Hg 0.500 0.000 0.000
Ta 0.000 0.000 0.000

---

x | # TaHg3Au

A relaxed TaHg3Au crystal (PBE, Alexandria via LeMat-Bulk).

Output
Symmetry   Pm-3m

abc: 5.153 5.153 5.153
angles: 90.00 90.00 90.00
Fractional positions:
Au 0.000 0.000 0.000
Hg 0.000 0.500 0.000
Hg 0.000 0.000 0.500
Hg 0.500 0.000 0.000
Ta 0.500 0.500 0.500

---

Relative to the most stable structure, the computed energies are w 0.0; x 22.7, all in kJ/mol of atoms.

---

w | # Tb8Hg2Au

A relaxed Tb8Hg2Au crystal (PBE, Alexandria via LeMat-Bulk).

Output
Symmetry   Immm

abc: 5.053 8.473 8.775
angles: 118.87 106.74 90.00
Fractional positions:
Tb 0.660 0.882 0.320
Tb 0.340 0.562 0.680
Tb 0.127 0.127 0.253
Tb 0.000 0.320 0.000
Tb 0.873 0.873 0.747
Tb 0.660 0.438 0.320
Tb 0.340 0.118 0.680
Tb 0.000 0.680 0.000
Hg 0.200 0.700 0.399
Hg 0.800 0.300 0.601
Au 0.500 0.000 0.000

---

x | # Tb8Hg2Au

A relaxed Tb8Hg2Au crystal (PBE, Alexandria via LeMat-Bulk).

Output
Symmetry   C2/m

abc: 5.181 6.912 9.445
angles: 102.77 105.92 90.00
Fractional positions:
Tb 0.410 0.547 0.820
Tb 0.660 0.972 0.320
Tb 0.798 0.679 0.595
Tb 0.978 0.231 0.956
Tb 0.202 0.321 0.405
Tb 0.340 0.028 0.680
Tb 0.590 0.453 0.180
Tb 0.022 0.769 0.044
Hg 0.813 0.262 0.625
Hg 0.187 0.738 0.375
Au 0.500 0.000 0.000

---

Relative to the most stable structure, the computed energies are w 9.1; x 0.0, all in kJ/mol of atoms.

---

w | # TbTmHgAu

A relaxed TbTmHgAu crystal (PBE, Alexandria via LeMat-Bulk).

Output
Symmetry   F-43m

abc: 5.155 5.155 5.155
angles: 60.00 60.00 60.00
Fractional positions:
Tb 0.500 0.500 0.500
Tm 0.000 0.000 0.000
Au 0.750 0.750 0.750
Hg 0.250 0.250 0.250

---

x | # TbTmHgAu

A relaxed TbTmHgAu crystal (PBE, Alexandria via LeMat-Bulk).

Output
Symmetry   P4mm

abc: 3.655 3.655 7.247
angles: 90.00 90.00 90.00
Fractional positions:
Tb 0.500 0.500 0.597
Tm 0.500 0.500 0.119
Hg 0.000 0.000 0.865
Au 0.000 0.000 0.347

---

Relative to the most stable structure, the computed energies are w 1.3; x 0.0, all in kJ/mol of atoms.

---

w | # TcHg2Au

A relaxed TcHg2Au crystal (PBE, Alexandria via LeMat-Bulk).

Output
Symmetry   I4/mmm

abc: 5.055 5.055 5.055
angles: 128.77 128.77 75.38
Site moments in Bohr magnetons follow the coordinates.
Fractional positions:
Au 0.750 0.250 0.500  0.00
Hg 0.000 0.000 0.000  0.00
Hg 0.500 0.500 0.000  0.00
Tc 0.250 0.750 0.500  1.99

---

x | # TcHg2Au

A relaxed TcHg2Au crystal (PBE, Alexandria via LeMat-Bulk).

Output
Symmetry   C2/m

abc: 5.017 5.017 5.446
angles: 80.47 80.47 33.87
Fractional positions:
Au 0.250 0.250 0.250
Hg 0.004 0.004 0.991
Hg 0.496 0.496 0.509
Tc 0.750 0.750 0.750

---

Relative to the most stable structure, the computed energies are w 5.9; x 0.0, all in kJ/mol of atoms.

---

w | # TcHgAu3

A relaxed TcHgAu3 crystal (PBE, Alexandria via LeMat-Bulk).

Output
Symmetry   Pm-3m

abc: 5.156 5.156 5.156
angles: 90.00 90.00 90.00
Site moments in Bohr magnetons follow the coordinates.
Fractional positions:
Au 0.000 0.500 0.000  0.01
Au 0.000 0.000 0.500  0.04
Au 0.500 0.000 0.000  0.00
Hg 0.000 0.000 0.000  -0.01
Tc 0.500 0.500 0.500  3.78

---

x | # TcHgAu3

A relaxed TcHgAu3 crystal (PBE, Alexandria via LeMat-Bulk).

Output
Symmetry   Pm-3m

abc: 5.117 5.117 5.117
angles: 90.00 90.00 90.00
Site moments in Bohr magnetons follow the coordinates.
Fractional positions:
Au 0.000 0.500 0.000  0.13
Au 0.000 0.000 0.500  0.21
Au 0.500 0.000 0.000  0.07
Hg 0.500 0.500 0.500  0.04
Tc 0.000 0.000 0.000  2.04

---

Relative to the most stable structure, the computed energies are w 31.9; x 0.0, all in kJ/mol of atoms.

---

w | # Hg2TeAu2

A relaxed Hg2TeAu2 crystal (PBE, Alexandria via LeMat-Bulk).

Output
Symmetry   I4/mmm

abc: 4.121 4.121 7.500
angles: 74.05 74.05 90.00
Fractional positions:
Te 0.000 0.000 0.000
Au 0.402 0.402 0.196
Au 0.598 0.598 0.804
Hg 0.750 0.250 0.500
Hg 0.250 0.750 0.500

---

x | # Hg2TeAu2

A relaxed Hg2TeAu2 crystal (PBE, Alexandria via LeMat-Bulk).

Output
Symmetry   P4/mbm

abc: 7.507 7.507 4.187
angles: 90.00 90.00 90.00
Fractional positions:
Te 0.000 0.000 0.000
Te 0.500 0.500 0.000
Au 0.363 0.863 0.000
Au 0.863 0.637 0.000
Au 0.637 0.137 0.000
Au 0.137 0.363 0.000
Hg 0.162 0.662 0.500
Hg 0.662 0.838 0.500
Hg 0.838 0.338 0.500
Hg 0.338 0.162 0.500

---

Relative to the most stable structure, the computed energies are w 2.0; x 0.0, all in kJ/mol of atoms.

---

w | # Hg2Te2Au

A relaxed Hg2Te2Au crystal (PBE, Alexandria via LeMat-Bulk).

Output
Symmetry   P4/mbm

abc: 7.749 7.749 4.359
angles: 90.00 90.00 90.00
Fractional positions:
Te 0.185 0.685 0.500
Te 0.685 0.815 0.500
Te 0.815 0.315 0.500
Te 0.315 0.185 0.500
Au 0.000 0.000 0.000
Au 0.500 0.500 0.000
Hg 0.366 0.866 0.000
Hg 0.866 0.634 0.000
Hg 0.634 0.134 0.000
Hg 0.134 0.366 0.000

---

x | # Hg2Te2Au

A relaxed Hg2Te2Au crystal (PBE, Alexandria via LeMat-Bulk).

Output
Symmetry   I4/mmm

abc: 4.202 4.202 8.908
angles: 76.36 76.36 90.00
Fractional positions:
Te 0.750 0.250 0.500
Te 0.250 0.750 0.500
Au 0.000 0.000 0.000
Hg 0.415 0.415 0.169
Hg 0.585 0.585 0.831

---

Relative to the most stable structure, the computed energies are w 0.0; x 1.3, all in kJ/mol of atoms.

---

w | # Th2HgAu

A relaxed Th2HgAu crystal (PBE, Alexandria via LeMat-Bulk).

Output
Symmetry   R3m

abc: 4.531 4.531 7.364
angles: 72.08 72.08 60.00
Fractional positions:
Th 0.073 0.073 0.780
Th 0.261 0.261 0.216
Hg 0.500 0.500 0.499
Au 0.665 0.665 0.005

---

x | # Th2HgAu

A relaxed Th2HgAu crystal (PBE, Alexandria via LeMat-Bulk).

Output
Symmetry   Fm-3m

abc: 5.339 5.339 5.339
angles: 60.00 60.00 60.00
Fractional positions:
Au 0.500 0.500 0.500
Hg 0.000 0.000 0.000
Th 0.250 0.250 0.250
Th 0.750 0.750 0.750

---

Relative to the most stable structure, the computed energies are w 14.4; x 0.0, all in kJ/mol of atoms.

---

w | # Th2HgAu

A relaxed Th2HgAu crystal (PBE, Alexandria via LeMat-Bulk).

Output
Symmetry   P4/mmm

abc: 3.753 3.753 7.631
angles: 90.00 90.00 90.00
Fractional positions:
Au 0.500 0.500 0.000
Hg 0.500 0.500 0.500
Th 0.000 0.000 0.761
Th 0.000 0.000 0.239

---

x | # Th2HgAu

A relaxed Th2HgAu crystal (PBE, Alexandria via LeMat-Bulk).

Output
Symmetry   R-3m

abc: 3.718 3.718 9.796
angles: 79.06 79.06 60.00
Fractional positions:
Au 0.000 0.000 0.000
Hg 0.500 0.500 0.500
Th 0.255 0.255 0.236
Th 0.745 0.745 0.764

---

y | # Th2HgAu

A relaxed Th2HgAu crystal (PBE, Alexandria via LeMat-Bulk).

Output
Symmetry   P2_1/m

abc: 4.670 6.421 7.614
angles: 107.48 90.00 90.00
Fractional positions:
Th 0.750 0.187 0.428
Th 0.250 0.813 0.572
Th 0.250 0.808 0.083
Th 0.750 0.192 0.917
Hg 0.250 0.354 0.215
Hg 0.750 0.646 0.785
Au 0.750 0.650 0.288
Au 0.250 0.350 0.712

---

Relative to the most stable structure, the computed energies are w 1.1; x 14.4; y 0.0, all in kJ/mol of atoms.

---

w | # TmThHgAu

A relaxed TmThHgAu crystal (PBE, Alexandria via LeMat-Bulk).

Output
Symmetry   P4mm

abc: 3.611 3.611 7.695
angles: 90.00 90.00 90.00
Fractional positions:
Tm 0.000 0.000 0.372
Th 0.000 0.000 0.848
Hg 0.500 0.500 0.129
Au 0.500 0.500 0.578

---

x | # TmThHgAu

A relaxed TmThHgAu crystal (PBE, Alexandria via LeMat-Bulk).

Output
Symmetry   F-43m

abc: 5.245 5.245 5.245
angles: 60.00 60.00 60.00
Site moments in Bohr magnetons follow the coordinates.
Fractional positions:
Tm 0.250 0.250 0.250  0.16
Au 0.000 0.000 0.000  0.02
Hg 0.500 0.500 0.500  0.01
Th 0.750 0.750 0.750  0.14

---

Relative to the most stable structure, the computed energies are w 0.0; x 5.7, all in kJ/mol of atoms.

---

w | # TiHgAu

A relaxed TiHgAu crystal (PBE, Alexandria via LeMat-Bulk).

Output
Symmetry   I4mm

abc: 3.083 3.083 6.324
angles: 104.11 104.11 90.00
Site moments in Bohr magnetons follow the coordinates.
Fractional positions:
Hg 0.005 0.005 0.010  0.01
Au 0.320 0.320 0.641  0.02
Ti 0.675 0.675 0.350  0.76

---

x | # TiHgAu

A relaxed TiHgAu crystal (PBE, Alexandria via LeMat-Bulk).

Output
Symmetry   P-6m2

abc: 2.891 4.725 4.725
angles: 120.00 90.00 90.00
Fractional positions:
Au 0.167 0.000 0.000
Hg 0.166 0.667 0.333
Ti 0.666 0.333 0.667

---

Relative to the most stable structure, the computed energies are w 0.0; x 9.1, all in kJ/mol of atoms.